[1]
Computed, not measured: a geometry-optimized MgCoSeO structure at the GGA+U level of DFT.

Computed properties:
Energy above the lowest structure with this stoichiometry, meV/atom: 358.0
Magnetic moment, μB per formula unit: 2.95
Total DFT energy (no corrections), eV/f.u.: -18.73

Unit cell a=3.8815 b=3.8815 c=8.9858 alpha=90.00 beta=90.00 gamma=90.00
Closest atoms and distances in Å follow each position.
Positions (direct):
Co  0.2500  0.2500  0.4476  4 O 2.00
Co  0.7500  0.7500  0.5524  4 O 2.00
Mg  0.7500  0.7500  0.1413  5 Se 2.69-2.75
Mg  0.2500  0.2500  0.8587  5 Se 2.69-2.75
O  0.7500  0.2500  0.5000  4 Co 2.00
O  0.2500  0.7500  0.5000  4 Co 2.00
Se  0.2500  0.2500  0.1578  1 Co 2.60, 5 Mg 2.69-2.75
Se  0.7500  0.7500  0.8422  1 Co 2.60, 5 Mg 2.69-2.75


[2]
Computed, not measured: a geometry-optimized MgCoSeO structure at the GGA+U level of DFT.

Computed properties:
Energy above the lowest structure with this stoichiometry, meV/atom: 293.6
Magnetic moment, μB per formula unit: 1.00
Total DFT energy (no corrections), eV/f.u.: -18.99

Unit cell a=6.2917 b=6.2917 c=6.0117 alpha=90.00 beta=90.00 gamma=30.88
Closest atoms and distances in Å follow each position.
Positions (direct):
Co  0.6803  0.6803  0.4840  2 O 2.10
Co  0.3197  0.3197  0.9840  2 O 2.10
Mg  0.9495  0.9495  0.3363  2 O 1.91-1.92
Mg  0.0505  0.0505  0.8363  2 O 1.91-1.92
O  0.9225  0.9225  0.0214  2 Mg 1.91-1.92, 2 Co 2.10
O  0.0775  0.0775  0.5214  2 Mg 1.91-1.92, 2 Co 2.10
Se  0.6812  0.6812  0.0509  3 Co 2.41-2.60, 2 Mg 2.64
Se  0.3188  0.3188  0.5509  3 Co 2.41-2.60, 2 Mg 2.64


[3]
Computed, not measured: a geometry-optimized MgCoSeO structure at the GGA+U level of DFT.

Computed properties:
Energy above the lowest structure with this stoichiometry, meV/atom: 171.5
Magnetic moment, μB per formula unit: 3.00
Total DFT energy (no corrections), eV/f.u.: -19.48

Unit cell a=7.4201 b=7.9754 c=8.1604 alpha=90.00 beta=90.00 gamma=90.00
Closest atoms and distances in Å follow each position.
Positions (direct):
Co  0.2492  0.2501  0.2483  2 O 2.04
Co  0.2508  0.7501  0.2483  2 O 2.04
Co  0.7492  0.2501  0.2517  2 O 2.04
Co  0.7508  0.7501  0.2517  2 O 2.04
Co  0.2492  0.2499  0.7483  2 O 2.04
Co  0.2508  0.7499  0.7483  2 O 2.04
Co  0.7492  0.2499  0.7517  2 O 2.04
Co  0.7508  0.7499  0.7517  2 O 2.04
Mg  0.7517  0.4997  0.0015  2 O 1.99
Mg  0.7483  0.9997  0.0015  2 O 1.99
Mg  0.2517  0.4997  0.4985  2 O 1.99
Mg  0.2483  0.9997  0.4985  2 O 1.99
Mg  0.7517  0.0003  0.5015  2 O 1.99
Mg  0.7483  0.5003  0.5015  2 O 1.99
Mg  0.2517  0.0003  0.9985  2 O 1.99
Mg  0.2483  0.5003  0.9985  2 O 1.99
O  0.7500  0.2497  0.0014  2 Mg 1.99, 2 Co 2.04
O  0.7500  0.7497  0.0014  2 Mg 1.99, 2 Co 2.04
O  0.2500  0.2497  0.4986  2 Mg 1.99, 2 Co 2.04
O  0.2500  0.7497  0.4986  2 Mg 1.99, 2 Co 2.04
O  0.7500  0.2503  0.5014  2 Mg 1.99, 2 Co 2.04
O  0.7500  0.7503  0.5014  2 Mg 1.99, 2 Co 2.04
O  0.2500  0.2503  0.9986  2 Mg 1.99, 2 Co 2.04
O  0.2500  0.7503  0.9986  2 Mg 1.99, 2 Co 2.04
Se  0.9998  0.0002  0.2491  4 Co 2.72-2.73, 4 Mg 2.75-2.77
Se  0.5002  0.5002  0.2491  4 Co 2.72-2.73, 4 Mg 2.75-2.77
Se  0.4998  0.0002  0.2509  4 Co 2.72-2.73, 4 Mg 2.75-2.77
Se  0.0002  0.5002  0.2509  4 Co 2.72-2.73, 4 Mg 2.75-2.77
Se  0.9998  0.4998  0.7491  4 Co 2.72-2.73, 4 Mg 2.75-2.77
Se  0.5002  0.9998  0.7491  4 Co 2.72-2.73, 4 Mg 2.75-2.77
Se  0.4998  0.4998  0.7509  4 Co 2.72-2.73, 4 Mg 2.75-2.77
Se  0.0002  0.9998  0.7509  4 Co 2.72-2.73, 4 Mg 2.75-2.77


[4]
Computed, not measured: a geometry-optimized MgCoSiO4 structure at the GGA+U level of DFT.

Computed properties:
Magnetic moment, μB per formula unit: 3.00
Total DFT energy (no corrections), eV/f.u.: -48.19

Unit cell a=4.7757 b=10.1944 c=5.9517 alpha=90.00 beta=90.00 gamma=90.00
Closest atoms and distances in Å follow each position.
Positions (direct):
Co  0.0000  0.0000  0.0000  6 O 2.09-2.16
Co  0.5000  0.5000  0.0000  6 O 2.09-2.16
Co  0.0000  0.0000  0.5000  6 O 2.09-2.16
Co  0.5000  0.5000  0.5000  6 O 2.09-2.16
Mg  0.9918  0.2756  0.2500  6 O 2.03-2.19
Mg  0.5082  0.7756  0.2500  6 O 2.03-2.19
Mg  0.4918  0.2244  0.7500  6 O 2.03-2.19
Mg  0.0082  0.7244  0.7500  6 O 2.03-2.19
O  0.2791  0.1662  0.0316  1 Si 1.65
O  0.2209  0.6662  0.0316  1 Si 1.65
O  0.7689  0.0955  0.2500  1 Si 1.63
O  0.2125  0.4453  0.2500  1 Si 1.66
O  0.7311  0.5955  0.2500  1 Si 1.63
O  0.2875  0.9453  0.2500  1 Si 1.66
O  0.2791  0.1662  0.4684  1 Si 1.65
O  0.2209  0.6662  0.4684  1 Si 1.65
O  0.7791  0.3338  0.5316  1 Si 1.65
O  0.7209  0.8338  0.5316  1 Si 1.65
O  0.7125  0.0547  0.7500  1 Si 1.66
O  0.2689  0.4045  0.7500  1 Si 1.63
O  0.7875  0.5547  0.7500  1 Si 1.66
O  0.2311  0.9045  0.7500  1 Si 1.63
O  0.7791  0.3338  0.9684  1 Si 1.65
O  0.7209  0.8338  0.9684  1 Si 1.65
Si  0.4268  0.0950  0.2500  4 O 1.63-1.66
Si  0.0732  0.5950  0.2500  4 O 1.63-1.66
Si  0.9268  0.4050  0.7500  4 O 1.63-1.66
Si  0.5732  0.9050  0.7500  4 O 1.63-1.66


[5]
Computed, not measured: a geometry-optimized MgTa2CoO6 structure at the GGA+U level of DFT.

Computed properties:
Magnetic moment, μB per formula unit: 1.00
Total DFT energy (no corrections), eV/f.u.: -81.88

Unit cell a=5.3840 b=5.4226 c=5.4326 alpha=90.79 beta=119.25 gamma=119.67
Closest atoms and distances in Å follow each position.
Positions (direct):
Co  0.0000  0.0000  0.0000  6 O 2.13-2.16
Mg  0.0000  0.5000  0.5000  6 O 2.08-2.10
O  0.5102  0.2331  0.0963  1 Ta 1.95, 1 Mg 2.08, 1 Co 2.13
O  0.1410  0.4167  0.2304  1 Ta 1.95, 1 Mg 2.08, 1 Co 2.13
O  0.1831  0.9091  0.4171  1 Ta 1.95, 1 Mg 2.10, 1 Co 2.16
O  0.8169  0.0909  0.5829  1 Ta 1.95, 1 Mg 2.10, 1 Co 2.16
O  0.8590  0.5833  0.7696  1 Ta 1.95, 1 Mg 2.08, 1 Co 2.13
O  0.4898  0.7669  0.9037  1 Ta 1.95, 1 Mg 2.08, 1 Co 2.13
Ta  0.3861  0.8079  0.1930  3 O 1.95
Ta  0.6139  0.1921  0.8070  3 O 1.95


[6]
Computed, not measured: a geometry-optimized MgCoTeO structure at the GGA+U level of DFT.

Computed properties:
Energy above the lowest structure with this stoichiometry, meV/atom: 374.1
Magnetic moment, μB per formula unit: 2.92
Total DFT energy (no corrections), eV/f.u.: -17.61

Unit cell a=4.0025 b=4.0025 c=9.7853 alpha=90.00 beta=90.00 gamma=90.00
Closest atoms and distances in Å follow each position.
Positions (direct):
Co  0.2500  0.2500  0.4623  4 O 2.04
Co  0.7500  0.7500  0.5377  4 O 2.04
Mg  0.7500  0.7500  0.1195  5 Te 2.88-2.89
Mg  0.2500  0.2500  0.8805  5 Te 2.88-2.89
O  0.7500  0.2500  0.5000  4 Co 2.04
O  0.2500  0.7500  0.5000  4 Co 2.04
Te  0.2500  0.2500  0.1758  1 Co 2.80, 5 Mg 2.88-2.89
Te  0.7500  0.7500  0.8242  1 Co 2.80, 5 Mg 2.88-2.89


[7]
Computed, not measured: a geometry-optimized MgCoTeO structure at the GGA+U level of DFT.

Computed properties:
Energy above the lowest structure with this stoichiometry, meV/atom: 497.2
Magnetic moment, μB per formula unit: 2.98
Total DFT energy (no corrections), eV/f.u.: -17.11

Unit cell a=3.8102 b=3.7192 c=12.2301 alpha=90.00 beta=90.00 gamma=120.81
Closest atoms and distances in Å follow each position.
Positions (direct):
Co  0.3289  0.6579  0.2696  3 O 2.13-2.33
Co  0.6711  0.3421  0.7696  3 O 2.13-2.33
Mg  0.9980  0.9960  0.4779  1 O 1.89
Mg  0.0020  0.0040  0.9779  1 O 1.89
O  0.0111  0.0223  0.3236  1 Mg 1.89
O  0.9889  0.9777  0.8236  1 Mg 1.89
Te  0.6597  0.3193  0.1166  3 Mg 2.74-2.77, 3 Co 2.82-2.88
Te  0.3403  0.6807  0.6166  3 Mg 2.74-2.77, 3 Co 2.82-2.88


[8]
Computed, not measured: a geometry-optimized MgCoTeO structure at the GGA+U level of DFT.

Computed properties:
Energy above the lowest structure with this stoichiometry, meV/atom: 147.3
Magnetic moment, μB per formula unit: 1.89
Total DFT energy (no corrections), eV/f.u.: -18.51

Unit cell a=3.4433 b=3.4433 c=13.1292 alpha=90.00 beta=90.00 gamma=120.00
Closest atoms and distances in Å follow each position.
Positions (direct):
Co  0.0000  0.0000  0.4717  1 O 1.92
Co  0.0000  0.0000  0.9717  1 O 1.92
Mg  0.3333  0.6667  0.2938  3 O 2.03
Mg  0.6667  0.3333  0.7938  3 O 2.03
O  0.0000  0.0000  0.3255  1 Co 1.92, 3 Mg 2.03
O  0.0000  0.0000  0.8255  1 Co 1.92, 3 Mg 2.03
Te  0.6667  0.3333  0.0967  3 Co 2.58
Te  0.3333  0.6667  0.5967  3 Co 2.58